The following is a PBE calculation of ZnTeRuI2 after structural relaxation, from Alexandria via LeMat-Bulk.

Cell lengths 5.488, 5.488, 5.380 Å; angles 90.00, 90.00, 90.00 degrees
Element x y z (fractional)
Zn 0.000 0.000 0.000
Te 0.000 0.000 0.500
Ru 0.500 0.500 0.500
I 0.000 0.500 0.000
I 0.500 0.000 0.000

Properties
**Spin magnetization**: 0.71 μB/atom
**Formation energy from raw total energies**: 95.7 kJ/mol of atoms
**Relative energy among the computed polymorphs**: 576 meV per atom